Density functional theory data (GGA-PBE) for a relaxed CoRe2Si crystal.

Cell: 3.8818 2.6961 5.4093 Å, 71.42 90.00 90.00°
Last column: nearest neighbours and their distance in Å.
Sites, in units of the cell vectors:
1 Re 0.0000 0.0915 0.0013  2 Si 2.47, 4 Re 2.58-2.73, 4 Co 2.69
2 Si 0.5000 0.2500 0.2500  4 Re 2.47, 2 Co 2.61, 2 Si 2.70
3 Co 0.5000 0.7500 0.7500  2 Si 2.61, 8 Re 2.69, 2 Co 2.70
4 Re 0.0000 0.4085 0.4987  2 Si 2.47, 4 Re 2.58-2.73, 4 Co 2.69

Values from the calculation:
Total magnetization   0.47 μB per formula unit
Total energy   -37.0 eV for the cell shown